A relaxed MgNiBO4 crystal, computed with PBE+U.

* total magnetization: 3.03 μB per formula unit
* symmetry: No. 63
* V: 130 Å³/cell
* raw total energy: -6.195 eV/atom

a = 4.8426 Å, b = 4.8426 Å, c = 6.1230 Å
α = 90.00°, β = 90.00°, γ = 115.01°
Last column: magnetic moment on the atom in μB.
Atoms (fractional coordinates):
O  0.8003  0.7370  0.2500  0.14
O  0.2630  0.1997  0.2500  0.14
O  0.2431  0.7569  0.4482  0.38
Ni  0.8312  0.1688  0.2500  1.80
O  0.2431  0.7569  0.0518  0.38
Mg  0.5000  0.5000  0.5000  0.00
Mg  0.5000  0.5000  0.0000  0.00
O  0.1997  0.2630  0.7500  0.14
B  0.8626  0.1374  0.7500  -0.02
B  0.1374  0.8626  0.2500  -0.02
O  0.7569  0.2431  0.5518  0.38
O  0.7569  0.2431  0.9482  0.38
Ni  0.1688  0.8312  0.7500  1.80
O  0.7370  0.8003  0.7500  0.14